[1]
VASP calculation (GGA-PBE) on crystalline Mg2BeCr at its relaxed geometry.

Cell and atoms, written as POSCAR:
```
Mg2BeCr
1.0
5.3537 0.0000 0.0000
0.0000 8.9069 0.0000
-0.8934 0.0000 2.4761
Mg Be Cr
4 2 2
direct
0.2500 0.2500 0.0000
0.2500 0.7500 0.0000
0.7500 0.2500 0.0000
0.7500 0.7500 0.0000
0.0000 0.0000 0.5000
0.5000 0.5000 0.5000
0.0000 0.5000 0.5000
0.5000 0.0000 0.5000
```

Properties
D(E_F) (states/eV/cell): 4.4
Electronic total energy (Ry per atom): -0.264


[2]
VASP calculation (GGA-PBE) on crystalline K3MgSi at its relaxed geometry.

Cell and atoms, written as POSCAR:
```
K3MgSi
1.0
6.5199 0.0000 0.0000
0.0000 6.5199 0.0000
0.0000 0.0000 6.5199
K Mg Si
3 1 1
direct
0.0000 0.0000 0.5000
0.0000 0.5000 0.0000
0.5000 0.0000 0.0000
0.5000 0.5000 0.5000
0.0000 0.0000 0.0000
```

Properties
ΔE to the lowest computed polymorph (meV/atom): 0.0
D(E_F) (states/eV/cell): 2.0
Electronic total energy (Ry per atom): -0.118
Formation energy without anion corrections (eV per atom): 0.456


[3]
VASP calculation (GGA-PBE) on crystalline Si23Bi at its relaxed geometry.

Cell and atoms, written as POSCAR:
```
Si23Bi
1.0
10.2513 0.0000 0.0000
0.0000 10.2513 0.0000
0.0000 0.0000 10.2513
Si Bi
46 2
direct
0.0000 0.1171 0.3088
0.0000 0.1171 0.6912
0.0000 0.2500 0.5000
0.0000 0.7500 0.5000
0.0000 0.8829 0.3088
0.0000 0.8829 0.6912
0.1171 0.3088 0.0000
0.1171 0.6912 0.0000
0.1829 0.1829 0.1829
0.1829 0.1829 0.8171
0.1829 0.8171 0.1829
0.1829 0.8171 0.8171
0.1912 0.3829 0.5000
0.1912 0.6171 0.5000
0.2500 0.5000 0.0000
0.3088 0.0000 0.1171
0.3088 0.0000 0.8829
0.3171 0.3171 0.3171
0.3171 0.3171 0.6829
0.3171 0.6829 0.3171
0.3171 0.6829 0.6829
0.3829 0.5000 0.1912
0.3829 0.5000 0.8088
0.5000 0.0000 0.2500
0.5000 0.0000 0.7500
0.5000 0.1912 0.3829
0.5000 0.1912 0.6171
0.5000 0.8088 0.3829
0.5000 0.8088 0.6171
0.6171 0.5000 0.1912
0.6171 0.5000 0.8088
0.6829 0.3171 0.3171
0.6829 0.3171 0.6829
0.6829 0.6829 0.3171
0.6829 0.6829 0.6829
0.6912 0.0000 0.1171
0.6912 0.0000 0.8829
0.7500 0.5000 0.0000
0.8088 0.3829 0.5000
0.8088 0.6171 0.5000
0.8171 0.1829 0.1829
0.8171 0.1829 0.8171
0.8171 0.8171 0.1829
0.8171 0.8171 0.8171
0.8829 0.3088 0.0000
0.8829 0.6912 0.0000
0.0000 0.0000 0.0000
0.5000 0.5000 0.5000
```

Properties
D(E_F) (states/eV/cell): 14.1
Electronic total energy (Ry per atom): -0.385
Formation energy without anion corrections (eV per atom): 0.115